Density functional theory data (GGA+U) for a relaxed structure of Nb2SnMoF.

## Properties
- final energy (eV/atom) = -5.314

Unit cell a=5.2422 b=4.0123 c=5.2422 alpha=90.00 beta=90.00 gamma=90.00
Element x y z (fractional)
Mo (0.5000, 0.5000, 0.5000)
Sn (0.0000, 0.0000, 0.0000)
Nb (0.5000, 0.0000, 0.0000)
Nb (0.0000, 0.0000, 0.5000)
F (0.0000, 0.5000, 0.0000)